A geometry-optimized Cs3Y3ZrSe8 structure. Source: Alexandria via LeMat-Bulk, functional PBE.

The structure in extended XYZ format:
```
15
Lattice="-1.6876 4.8324 6.5418 6.2120 -5.4994 0.3915 1.8329 7.9637 -5.4099" Properties=species:S:1:pos:R:3 pbc="T T T"
Cs 0.0000 0.0000 0.0000
Cs 3.1060 -2.7497 0.1957
Cs 2.2622 -0.3335 3.4667
Y 0.0726 6.3980 0.5660
Y 3.1786 3.6483 0.7617
Y 4.0224 1.2321 -2.5092
Zr 0.9165 3.9818 -2.7049
Se 3.4897 0.8300 0.2872
Se 2.8676 6.4667 1.2363
Se 2.7555 3.2322 3.5967
Se 3.6018 4.0645 -2.0732
Se -0.4899 6.1058 3.3923
Se 6.8471 1.1908 -1.8688
Se 0.3920 3.5807 -0.0261
Se 5.9653 3.7159 1.5495
```

Summary:
uncorrected formation energy: -25.096 eV per formula unit
crystal system: trigonal
space-group type: R-3m
total moment: 0.000 μB per atom